# 1
DFT (PBE) results for a geometry-optimized Na2SrCu2H6 structure.

Summary:
The total energy is -3.128 eV per atom. The mass density comes out at 3.01 Mg/m³. The size of the total moment is 0.0 μB per cell.

CIF file:
```
data_Na2SrCu2H6
_cell_length_a 8.647
_cell_length_b 5.285
_cell_length_c 6.803
_cell_angle_alpha 90.00
_cell_angle_beta 108.98
_cell_angle_gamma 90.00
_symmetry_space_group_name_H-M 'C 1 2/m 1'
_symmetry_Int_Tables_number 12
loop_
_symmetry_equiv_pos_as_xyz
'x,y,z'
'-x,-y,-z'
'-x,y,-z'
'x,-y,z'
'x+1/2,y+1/2,z'
'-x+1/2,-y+1/2,-z'
'-x+1/2,y+1/2,-z'
'x+1/2,-y+1/2,z'
loop_
_atom_site_label
_atom_site_type_symbol
_atom_site_fract_x
_atom_site_fract_y
_atom_site_fract_z
Na1 Na 0.189 0.000 0.125
Sr1 Sr 0.000 0.000 0.500
Cu1 Cu 0.033 0.500 0.226
H1 H 0.062 0.238 0.834
H2 H 0.195 0.500 0.422
```

# 2
DFT (PBE) results for a geometry-optimized NaCuTc2H structure.

Summary:
The total energy is -3.174 eV per atom. The mass density comes out at 4.35 Mg/m³. The size of the total moment is 6.8 μB per cell. The value obtained for the density of states at the Fermi level is 2.6 states/eV/cell.

CIF file:
```
data_NaCuTc2H
_cell_length_a 4.902
_cell_length_b 4.902
_cell_length_c 4.500
_cell_angle_alpha 90.00
_cell_angle_beta 90.00
_cell_angle_gamma 90.00
_symmetry_space_group_name_H-M 'P 4/m m m'
_symmetry_Int_Tables_number 123
_symmetry_space_group_name_Hall '-P 4 2'
loop_
_atom_site_label
_atom_site_type_symbol
_atom_site_fract_x
_atom_site_fract_y
_atom_site_fract_z
Na1 Na 0.000 0.000 0.000
Cu1 Cu 0.000 0.000 0.500
Tc1 Tc 0.000 0.500 0.000
H1 H 0.500 0.500 0.500
```